A plane-wave DFT calculation with PBE was carried out for crystalline SbOsRu2 at its relaxed geometry.

Values from the calculation:
Fermi-level density of states in states/eV per cell: 7.24
Final energy in eV/atom: -8.007
Size of the total moment in μB per formula unit: 0.000

```
data_SbOsRu2
_chemical_formula_sum 'Sb2 Os2 Ru4'
_space_group_name_H-M_alt 'I m m m'
_space_group_IT_number 71
_space_group_name_Hall '-I 2 2'
_cell_length_a 3.0963
_cell_length_b 4.5334
_cell_length_c 8.9386
_cell_angle_alpha 90.00
_cell_angle_beta 90.00
_cell_angle_gamma 90.00
loop_
_atom_site_label
_atom_site_fract_x
_atom_site_fract_y
_atom_site_fract_z
Sb1 0.0000 0.0000 0.0000
Os1 0.0000 0.0000 0.5000
Ru1 0.0000 0.5000 0.2688
```